Density functional theory data (GGA-PBE) for a relaxed TbTm3Th3 crystal.

It has space group R-3 (No. 148, hexagonal axes), with a = 8.7636 Å, b = 8.7636 Å, c = 21.2468 Å, α = 90.00°, β = 90.00° and γ = 120.00°. The distinct sites, in fractional coordinates, are Tb at (0.0000, 0.0000, 0.1432), Tm at (0.0497, 0.7784, 0.7137) and Th at (0.0101, 0.7609, 0.5543).

The value obtained for the calculated formation energy is 0.32 eV/atom. For the energy above the lowest structure with this stoichiometry, the calculation gives 0.279 eV/atom. For the size of the total moment, the calculation gives 0.000 μB per atom.